1.
DFT (GGA-PBE) results for a relaxed La3Ag2Au9 crystal.

Cell and atoms, written as POSCAR:
```
La3Ag2Au9
1.0
-2.343 4.858 6.916
2.343 -4.858 6.916
2.343 4.858 -6.916
Ag Au La
2 9 3
Direct
0.681 0.500 0.181
0.319 0.500 0.819
0.584 0.869 0.714
0.845 0.131 0.714
0.023 0.663 0.360
0.500 0.000 0.500
0.698 0.337 0.360
0.416 0.131 0.286
0.155 0.869 0.286
0.977 0.337 0.640
0.302 0.663 0.640
0.000 0.000 0.000
0.706 0.706 0.000
0.294 0.294 0.000
```

Results
Space group   Immm, No. 71
Density of states at the Fermi level   5.6 states/eV per cell
Formation energy   -0.563 eV per atom
Electronic total energy   -4.133 eV/atom
Spin magnetization   0.000 μB per cell

---

2.
DFT (GGA-PBE) results for a relaxed La2Ag2Au3 crystal.

Cell and atoms, written as POSCAR:
```
La2Ag2Au3
1.0
-2.349 -0.263 -3.479
4.261 -6.470 -2.389
-5.221 -5.843 6.510
La Au Ag
4 6 4
Direct
0.063 0.750 0.125
0.155 0.250 0.311
0.845 0.750 0.689
0.937 0.250 0.875
0.227 0.750 0.454
0.439 0.574 0.878
0.561 0.426 0.122
0.561 0.074 0.122
0.439 0.926 0.878
0.773 0.250 0.546
0.308 0.048 0.617
0.308 0.452 0.617
0.692 0.952 0.383
0.692 0.548 0.383
```

Results
Space group   Cmcm, No. 63
Density of states at the Fermi level   8.9 states/eV per cell
Formation energy   -0.569 eV per atom
Electronic total energy   -4.196 eV/atom
Spin magnetization   0.000 μB per cell

---

> What is the electronic total energy in the first record?

-4.133 eV/atom